The following is a PBE-GGA calculation of crystalline SrCdInGa2 at its relaxed geometry, from Alexandria.

abc: 4.6076 4.6076 6.6413
angles: 110.30 110.30 90.00
Fractional positions:
Ga 0.3920 0.3920 0.7840
Ga 0.6080 0.6080 0.2160
Sr 0.0000 0.0000 0.0000
Cd 0.2500 0.7500 0.5000
In 0.7500 0.2500 0.5000

Values from the calculation:
E_form, eV/atom: -0.359
Space-group type: I-4m2 (119)
Total magnetic moment, μB per cell: 0.000